# 1
VASP calculation (PBE) on a relaxed structure of Sm8AlTl2.

Values from the calculation:
Theoretical density (g cm⁻³): 7.929
Formation energy (meV per atom): -84
DOS(E_F) (states/eV per cell): 12.50
Symmetry: C2/m
Energy relative to the lowest polymorph listed for this composition (kJ/mol of formula units): 103

a b c (Å): 5.679 8.795 8.795
angles (deg): 118.90 103.26 103.26
Sites, in units of the cell vectors:
Sm: 0.913 0.905 0.686
Sm: 0.913 0.686 0.905
Sm: 0.308 0.610 0.610
Sm: 0.500 0.785 0.215
Sm: 0.500 0.215 0.785
Sm: 0.692 0.390 0.390
Sm: 0.087 0.314 0.095
Sm: 0.087 0.095 0.314
Al: 0.500 0.000 0.000
Tl: 0.000 0.305 0.695
Tl: 0.000 0.695 0.305

# 2
VASP calculation (PBE) on a relaxed structure of ReTcPb2.

Values from the calculation:
Theoretical density (g cm⁻³): 13.677
Formation energy (meV per atom): 751
DOS(E_F) (states/eV per cell): 2.77
Symmetry: Cm
Energy relative to the lowest polymorph listed for this composition (kJ/mol of formula units): 164

a b c (Å): 5.361 5.361 5.841
angles (deg): 64.13 64.13 34.62
Sites, in units of the cell vectors:
Pb: 0.968 0.968 0.058
Pb: 0.781 0.781 0.696
Re: 0.549 0.549 0.545
Tc: 0.202 0.202 0.201

# 3
VASP calculation (PBE) on a relaxed structure of PmNi2PN4.

Values from the calculation:
Theoretical density (g cm⁻³): 6.789
Formation energy from raw total energies (eV per atom): -0.512
DOS(E_F) (states/eV per cell): 2.02
Symmetry: I-42m

a b c (Å): 5.173 4.856 4.856
angles (deg): 82.26 57.82 57.82
Sites, in units of the cell vectors:
Pm: 0.000 0.000 0.000
Ni: 0.500 0.750 0.250
Ni: 0.500 0.250 0.750
P: 0.000 0.500 0.500
N: 0.630 0.531 0.839
N: 0.370 0.161 0.469
N: 0.000 0.469 0.161
N: 0.000 0.839 0.531

# 4
VASP calculation (PBE) on a relaxed structure of LiMn4Mo.

Values from the calculation:
Theoretical density (g cm⁻³): 7.366
Formation energy (meV per atom): 146
DOS(E_F) (states/eV per cell): 7.22
Symmetry: F-43m

a b c (Å): 4.685 4.685 4.685
angles (deg): 60.00 60.00 60.00
Each line ends with the local moment (μB).
Sites, in units of the cell vectors:
Li: 0.000 0.000 0.000  -0.01
Mn: 0.877 0.374 0.374  0.47
Mn: 0.374 0.374 0.877  0.47
Mn: 0.374 0.877 0.374  0.47
Mn: 0.374 0.374 0.374  0.47
Mo: 0.750 0.750 0.750  -0.19

# 5
VASP calculation (PBE) on a relaxed structure of Tb2DyHgO.

Values from the calculation:
Theoretical density (g cm⁻³): 10.607
Formation energy from raw total energies (eV per atom): -1.391
DOS(E_F) (states/eV per cell): 2.21
Symmetry: P4/mmm

a b c (Å): 4.762 4.787 4.787
angles (deg): 90.00 90.00 90.00
Sites, in units of the cell vectors:
Tb: 0.000 0.000 0.500
Tb: 0.000 0.500 0.000
Dy: 0.500 0.000 0.000
Hg: 0.500 0.500 0.500
O: 0.000 0.000 0.000

# 6
VASP calculation (PBE) on a relaxed structure of MnBeSe2.

Values from the calculation:
Theoretical density (g cm⁻³): 4.712
Formation energy from raw total energies (eV per atom): -0.444
DOS(E_F) (states/eV per cell): 0.34
Symmetry: P3m1

a b c (Å): 3.792 3.792 6.280
angles (deg): 90.00 90.00 120.00
Each line ends with the local moment (μB).
Sites, in units of the cell vectors:
Be: 0.333 0.667 0.423  0.04
Mn: 0.000 0.000 0.971  4.28
Se: 0.333 0.667 0.769  0.12
Se: 0.667 0.333 0.291  0.05

Question: Among the records above, which one has the highest theoretical density?
Answer: ReTcPb2

Question: Number 1 is which compound?
Answer: Sm8AlTl2

What did the third record say?
VASP calculation (PBE) on a relaxed structure of PmNi2PN4.

Values from the calculation:
Theoretical density (g cm⁻³): 6.789
Formation energy from raw total energies (eV per atom): -0.512
DOS(E_F) (states/eV per cell): 2.02
Symmetry: I-42m

a b c (Å): 5.173 4.856 4.856
angles (deg): 82.26 57.82 57.82
Sites, in units of the cell vectors:
Pm: 0.000 0.000 0.000
Ni: 0.500 0.750 0.250
Ni: 0.500 0.250 0.750
P: 0.000 0.500 0.500
N: 0.630 0.531 0.839
N: 0.370 0.161 0.469
N: 0.000 0.469 0.161
N: 0.000 0.839 0.531